Record 1
Density functional theory data (PBE) for a relaxed Na3CoPb crystal.

polymorph energy (0 for the lowest one)	0.220	eV/atom
crystal system	cubic
formation energy	89.5	kJ/mol of atoms

Geometry as CIF:
```
data_Na3CoPb
_chemical_formula_sum 'Na3 Co1 Pb1'
_space_group_name_H-M_alt 'P 1'
_space_group_IT_number 1
_space_group_name_Hall 'P 1'
_cell_length_a 5.8958
_cell_length_b 5.8958
_cell_length_c 5.8958
_cell_angle_alpha 90.00
_cell_angle_beta 90.00
_cell_angle_gamma 90.00
loop_
_atom_site_label
_atom_site_fract_x
_atom_site_fract_y
_atom_site_fract_z
_atom_site_occupancy
Pb1 0.0000 0.0000 0.0000 1
Na1 0.0000 0.5000 0.0000 1
Na2 0.0000 0.0000 0.5000 1
Na3 0.5000 0.0000 0.0000 1
Co1 0.5000 0.5000 0.5000 1
```

Record 2
Density functional theory data (PBE) for a relaxed NaInTe2 crystal.

formation energy from raw total energies	-562	meV/atom
crystal system	monoclinic

Geometry as CIF:
```
data_NaInTe2
_chemical_formula_sum 'Na4 In4 Te8'
_space_group_name_H-M_alt 'P 1'
_space_group_IT_number 1
_space_group_name_Hall 'P 1'
_cell_length_a 6.7531
_cell_length_b 6.8141
_cell_length_c 11.7383
_cell_angle_alpha 91.99
_cell_angle_beta 90.00
_cell_angle_gamma 90.00
loop_
_atom_site_label
_atom_site_fract_x
_atom_site_fract_y
_atom_site_fract_z
_atom_site_occupancy
Na1 0.2779 0.9554 0.3717 1
Na2 0.7221 0.0446 0.6283 1
Na3 0.2779 0.5446 0.1283 1
Na4 0.7221 0.4554 0.8717 1
In1 0.1427 0.6094 0.6207 1
In2 0.8573 0.3906 0.3793 1
In3 0.1427 0.8906 0.8793 1
In4 0.8573 0.1094 0.1207 1
Te1 0.7259 0.9583 0.9054 1
Te2 0.2741 0.0417 0.0946 1
Te3 0.7259 0.5417 0.5946 1
Te4 0.2741 0.4583 0.4054 1
Te5 0.7746 0.5191 0.1548 1
Te6 0.2254 0.4809 0.8452 1
Te7 0.7746 0.9809 0.3452 1
Te8 0.2254 0.0191 0.6548 1
```

Record 3
Density functional theory data (PBE) for a relaxed CaYZr2 crystal.

polymorph energy (0 for the lowest one)	0.063	eV/atom
crystal system	monoclinic
formation energy	21.9	kJ/mol of atoms

Geometry as CIF:
```
data_CaYZr2
_chemical_formula_sum 'Ca1 Y1 Zr2'
_space_group_name_H-M_alt 'P 1'
_space_group_IT_number 1
_space_group_name_Hall 'P 1'
_cell_length_a 5.6165
_cell_length_b 5.6165
_cell_length_c 6.4725
_cell_angle_alpha 84.29
_cell_angle_beta 84.29
_cell_angle_gamma 33.99
loop_
_atom_site_label
_atom_site_fract_x
_atom_site_fract_y
_atom_site_fract_z
_atom_site_occupancy
Y1 0.2564 0.2564 0.2244 1
Ca1 0.4974 0.4974 0.5091 1
Zr1 0.0049 0.0049 0.9674 1
Zr2 0.7413 0.7413 0.7992 1
```

Record 4
Density functional theory data (PBE) for a relaxed RbB2Cl2 crystal.

formation energy from raw total energies	721	meV/atom
polymorph energy (0 for the lowest one)	0.159	eV/atom
crystal system	tetragonal

Geometry as CIF:
```
data_RbB2Cl2
_chemical_formula_sum 'Rb1 B2 Cl2'
_space_group_name_H-M_alt 'P 1'
_space_group_IT_number 1
_space_group_name_Hall 'P 1'
_cell_length_a 5.1994
_cell_length_b 5.1994
_cell_length_c 5.4390
_cell_angle_alpha 61.45
_cell_angle_beta 61.45
_cell_angle_gamma 90.00
loop_
_atom_site_label
_atom_site_fract_x
_atom_site_fract_y
_atom_site_fract_z
_atom_site_occupancy
B1 0.3859 0.3859 0.2281 1
B2 0.6141 0.6141 0.7719 1
Rb1 0.0000 0.0000 0.0000 1
Cl1 0.7500 0.2500 0.5000 1
Cl2 0.2500 0.7500 0.5000 1
```

Record 5
Density functional theory data (PBE) for a relaxed In4I2Br3 crystal.

formation energy from raw total energies	-540	meV/atom
crystal system	monoclinic

Geometry as CIF:
```
data_In4I2Br3
_chemical_formula_sum 'In8 I4 Br6'
_space_group_name_H-M_alt 'P 1'
_space_group_IT_number 1
_space_group_name_Hall 'P 1'
_cell_length_a 6.4682
_cell_length_b 10.4438
_cell_length_c 10.4438
_cell_angle_alpha 80.50
_cell_angle_beta 82.66
_cell_angle_gamma 82.66
loop_
_atom_site_label
_atom_site_fract_x
_atom_site_fract_y
_atom_site_fract_z
_atom_site_occupancy
In1 0.4587 0.9489 0.2267 1
In2 0.0413 0.7733 0.0511 1
In3 0.5413 0.0511 0.7733 1
In4 0.9587 0.2267 0.9489 1
In5 0.8376 0.2054 0.4307 1
In6 0.6624 0.5693 0.7946 1
In7 0.1624 0.7946 0.5693 1
In8 0.3376 0.4307 0.2054 1
I1 0.3353 0.1912 0.4360 1
I2 0.1647 0.5640 0.8088 1
I3 0.6647 0.8088 0.5640 1
I4 0.8353 0.4360 0.1912 1
Br1 0.9493 0.0178 0.2108 1
Br2 0.5507 0.7892 0.9822 1
Br3 0.0507 0.9822 0.7892 1
Br4 0.4493 0.2108 0.0178 1
Br5 0.2500 0.6448 0.3552 1
Br6 0.7500 0.3552 0.6448 1
```

Record 6
Density functional theory data (PBE) for a relaxed ScTcOs2 crystal.

polymorph energy (0 for the lowest one)	0.123	eV/atom
crystal system	monoclinic
formation energy	5.4	kJ/mol of atoms

Geometry as CIF:
```
data_ScTcOs2
_chemical_formula_sum 'Sc1 Tc1 Os2'
_space_group_name_H-M_alt 'P 1'
_space_group_IT_number 1
_space_group_name_Hall 'P 1'
_cell_length_a 4.9531
_cell_length_b 4.9531
_cell_length_c 4.7418
_cell_angle_alpha 77.79
_cell_angle_beta 77.79
_cell_angle_gamma 33.42
loop_
_atom_site_label
_atom_site_fract_x
_atom_site_fract_y
_atom_site_fract_z
_atom_site_occupancy
Os1 0.9847 0.9847 0.0205 1
Os2 0.5153 0.5153 0.4795 1
Sc1 0.7500 0.7500 0.7500 1
Tc1 0.2500 0.2500 0.2500 1
```

Number 1: magnetization 0.655 μB per atom. Number 2: magnetization 0.000 μB per atom. Number 3: magnetization 0.000 μB per atom. Number 4: magnetization 0.000 μB per atom. Number 5: magnetization 0.000 μB per atom. Number 6: magnetization 0.000 μB per atom.